This record from the Alexandria database describes a geometry-optimized PmSmLuZr structure. The functional is PBE.

extended XYZ file:
```
4
Lattice="0.000 3.909 3.909 3.909 0.000 3.909 3.909 3.909 0.000" Properties=species:S:1:pos:R:3 pbc="T T T"
Pm 0.000 0.000 0.000
Sm 5.863 5.863 5.863
Lu 3.909 3.909 3.909
Zr 1.954 1.954 1.954
```

SG: F-43m, No. 216
Energy relative to the elements: 0.237 eV/atom
Spin magnetization: 2.13 Bohr magnetons per cell